(1)
Compound: CsLi3Cu4Cl12
Source: Alexandria via LeMat-Bulk
Functional: PBE
Structure: optimized geometry

abc: 8.4950 8.4950 8.4950
angles: 105.10 105.10 105.10
Atoms (fractional coordinates):
Cs 0.0000 0.0000 0.0000
Li 0.0000 0.5648 0.4352
Li 0.4352 0.0000 0.5648
Li 0.5648 0.4352 0.0000
Cu 0.0694 0.5000 0.9306
Cu 0.5000 0.5000 0.5000
Cu 0.5000 0.9306 0.0694
Cu 0.9306 0.0694 0.5000
Cl 0.0808 0.6508 0.7597
Cl 0.0912 0.9088 0.5000
Cl 0.2403 0.3492 0.9192
Cl 0.3397 0.6603 0.5000
Cl 0.3492 0.9192 0.2403
Cl 0.5000 0.0912 0.9088
Cl 0.5000 0.3397 0.6603
Cl 0.6508 0.7597 0.0808
Cl 0.6603 0.5000 0.3397
Cl 0.7597 0.0808 0.6508
Cl 0.9088 0.5000 0.0912
Cl 0.9192 0.2403 0.3492

Summary:
ΔE_f (raw) in eV per atom: -0.95
Crystal system: trigonal



(2)
Compound: La2P3PdPt4
Source: Alexandria via LeMat-Bulk
Functional: PBE
Structure: optimized geometry

abc: 4.2686 4.2686 10.2236
angles: 90.00 90.00 90.00
Atoms (fractional coordinates):
La 0.0000 0.5000 0.2470
La 0.5000 0.0000 0.7530
P 0.0000 0.0000 0.0000
P 0.0000 0.5000 0.6252
P 0.5000 0.0000 0.3748
Pd 0.5000 0.5000 0.0000
Pt 0.0000 0.0000 0.5000
Pt 0.0000 0.5000 0.8499
Pt 0.5000 0.0000 0.1501
Pt 0.5000 0.5000 0.5000

Summary:
Crystal system: tetragonal
Energy of formation from the pure elements in meV per atom: -925



(3)
Compound: Ac2NdAgS5
Source: Alexandria via LeMat-Bulk
Functional: PBE
Structure: optimized geometry

abc: 8.8835 8.8835 12.5535
angles: 90.00 90.00 152.82
Atoms (fractional coordinates):
Ac 0.1143 0.8857 0.5000
Ac 0.1237 0.8763 0.1216
Ac 0.8763 0.1237 0.6216
Ac 0.8857 0.1143 0.0000
Nd 0.1913 0.8087 0.8185
Nd 0.8087 0.1913 0.3185
Ag 0.4758 0.5242 0.2900
Ag 0.5242 0.4758 0.7900
S 0.0434 0.9566 0.8947
S 0.2927 0.7073 0.4759
S 0.3048 0.6952 0.1611
S 0.3563 0.6437 0.8169
S 0.4986 0.5014 0.0945
S 0.5014 0.4986 0.5945
S 0.6437 0.3563 0.3169
S 0.6952 0.3048 0.6611
S 0.7073 0.2927 0.9759
S 0.9566 0.0434 0.3947

Summary:
ΔE_f (raw) in eV per atom: -1.78
Crystal system: orthorhombic



(4)
Compound: CaAc3La
Source: Alexandria via LeMat-Bulk
Functional: PBE
Structure: optimized geometry

abc: 6.8124 9.4454 13.6470
angles: 90.00 90.00 90.00
Atoms (fractional coordinates):
Ca 0.2500 0.0000 0.2053
Ca 0.2500 0.5000 0.2947
Ca 0.7500 0.0000 0.7947
Ca 0.7500 0.5000 0.7053
Ac 0.0888 0.1737 0.4450
Ac 0.0888 0.3263 0.0550
Ac 0.1753 0.2500 0.7500
Ac 0.3247 0.7500 0.7500
Ac 0.4112 0.6737 0.0550
Ac 0.4112 0.8263 0.4450
Ac 0.5888 0.1737 0.5550
Ac 0.5888 0.3263 0.9450
Ac 0.6753 0.2500 0.2500
Ac 0.8247 0.7500 0.2500
Ac 0.9112 0.6737 0.9450
Ac 0.9112 0.8263 0.5550
La 0.2500 0.0000 0.9450
La 0.2500 0.5000 0.5550
La 0.7500 0.0000 0.0550
La 0.7500 0.5000 0.4450

Summary:
Crystal system: orthorhombic
Energy above the lowest structure with this stoichiometry in eV per atom: 0.0411
Energy of formation from the pure elements in meV per atom: 175



(5)
Compound: Sm6DyEr3Tm2
Source: Alexandria via LeMat-Bulk
Functional: PBE
Structure: optimized geometry

abc: 6.1884 6.1884 11.7319
angles: 95.03 95.03 119.98
Atoms (fractional coordinates):
Sm 0.0835 0.4171 0.7501
Sm 0.2501 0.2501 0.2500
Sm 0.4171 0.0835 0.7501
Sm 0.5829 0.9165 0.2499
Sm 0.7499 0.7499 0.7500
Sm 0.9165 0.5829 0.2499
Dy 0.0000 0.0000 0.5000
Er 0.1668 0.8332 0.0000
Er 0.5000 0.5000 0.0000
Er 0.8332 0.1668 0.0000
Tm 0.3334 0.6666 0.5000
Tm 0.6666 0.3334 0.5000

Summary:
Crystal system: monoclinic
Energy of formation from the pure elements in meV per atom: 16



(6)
Compound: BeNb2CdO
Source: Alexandria via LeMat-Bulk
Functional: PBE
Structure: optimized geometry

abc: 5.0936 5.0936 2.9946
angles: 90.00 90.00 90.00
Atoms (fractional coordinates):
Be 0.0000 0.0000 0.0000
Nb 0.0000 0.5000 0.0000
Nb 0.5000 0.0000 0.0000
Cd 0.5000 0.5000 0.5000
O 0.0000 0.0000 0.5000

Summary:
ΔE_f (raw) in eV per atom: 0.18
Crystal system: tetragonal



(7)
Compound: GdBeCo
Source: Alexandria via LeMat-Bulk
Functional: PBE
Structure: optimized geometry

abc: 3.8148 3.8148 3.9297
angles: 90.00 90.00 120.00
Atoms (fractional coordinates):
Gd 0.0000 0.0000 0.0000
Be 0.6667 0.3333 0.5000
Co 0.3333 0.6667 0.5000

Summary:
Crystal system: hexagonal
Energy of formation from the pure elements in meV per atom: -132



(8)
Compound: LiPaHgBr6
Source: Alexandria via LeMat-Bulk
Functional: PBE
Structure: optimized geometry

abc: 7.0093 7.0093 18.7560
angles: 90.00 90.00 120.00
Atoms (fractional coordinates):
Li 0.3333 0.6667 0.2500
Li 0.6667 0.3333 0.7500
Pa 0.3333 0.6667 0.7500
Pa 0.6667 0.3333 0.2500
Hg 0.0000 0.0000 0.0000
Hg 0.0000 0.0000 0.5000
Br 0.0068 0.3586 0.6661
Br 0.0068 0.6482 0.8339
Br 0.3518 0.3586 0.8339
Br 0.3518 0.9932 0.6661
Br 0.3586 0.0068 0.1661
Br 0.3586 0.3518 0.3339
Br 0.6414 0.6482 0.6661
Br 0.6414 0.9932 0.8339
Br 0.6482 0.0068 0.3339
Br 0.6482 0.6414 0.1661
Br 0.9932 0.3518 0.1661
Br 0.9932 0.6414 0.3339

Summary:
ΔE_f (raw) in eV per atom: -1.29
Crystal system: trigonal



(9)
Compound: LiBeHg2
Source: Alexandria via LeMat-Bulk
Functional: PBE
Structure: optimized geometry

abc: 4.9315 4.9315 4.5312
angles: 100.98 100.98 39.15
Atoms (fractional coordinates):
Li 0.0000 0.0000 0.0000
Be 0.2592 0.2592 0.6781
Hg 0.5142 0.5142 0.5370
Hg 0.7434 0.7434 0.1566

Summary:
Crystal system: monoclinic
Energy of formation from the pure elements in meV per atom: 111



(10)
Compound: P2PdClF
Source: Alexandria via LeMat-Bulk
Functional: PBE
Structure: optimized geometry

abc: 4.6133 4.6133 4.9296
angles: 90.00 90.00 90.00
Atoms (fractional coordinates):
P 0.0000 0.5000 0.0000
P 0.5000 0.0000 0.0000
Pd 0.0000 0.0000 0.0000
Cl 0.0000 0.0000 0.5000
F 0.5000 0.5000 0.5000

Summary:
ΔE_f (raw) in eV per atom: 0.43
Crystal system: tetragonal
Energy above the lowest structure with this stoichiometry in eV per atom: 0.0000



(11)
Compound: AcNdIrPd
Source: Alexandria via LeMat-Bulk
Functional: PBE
Structure: optimized geometry

abc: 5.1816 5.1816 5.1816
angles: 60.00 60.00 60.00
Atoms (fractional coordinates):
Ac 0.0000 0.0000 0.0000
Nd 0.5000 0.5000 0.5000
Ir 0.2500 0.2500 0.2500
Pd 0.7500 0.7500 0.7500

Summary:
Crystal system: cubic
Energy above the lowest structure with this stoichiometry in eV per atom: 0.0735
Energy of formation from the pure elements in meV per atom: -641



Table of raw total energy (eV/f.u.), in record order: -64.20; -64.69; -52.52; -18.38; -55.36; -28.83; -25.31; -33.36; -5.80; -17.58; -25.49